{"formula": "MnTcClO4", "functional": "PBE with a Hubbard U", "state": "relaxed", "final_energy_ev_per_atom": -7.090, "sg": "C2/m, No. 12", "cell": [[-3.7133, -0.1630, 4.6472], [3.1101, -2.4402, 4.4480], [2.2392, 6.1225, 6.7136]], "species": ["O", "O", "Mn", "Tc", "Mn", "O", "Cl", "O", "O", "O", "O", "Cl", "Tc", "O"], "fractional_positions": [[0.7679, 0.7679, 0.4640], [0.8581, 0.4647, 0.7631], [0.8317, 0.8317, 0.1994], [0.6299, 0.6299, 0.6745], [0.1683, 0.1683, 0.8006], [0.2321, 0.2321, 0.5360], [0.1296, 0.1296, 0.0802], [0.1419, 0.5353, 0.2369], [0.5353, 0.1419, 0.2369], [0.4331, 0.4331, 0.7042], [0.4647, 0.8581, 0.7631], [0.8704, 0.8704, 0.9198], [0.3701, 0.3701, 0.3255], [0.5669, 0.5669, 0.2958]]}